Crystalline NdNi2C2 at its relaxed geometry, computed with PBE.

## Properties
Total DFT energy (no corrections) = -0.50237 Ry/atom
Energy relative to the lowest polymorph listed for this composition = 196 meV per atom
SG = Fmmm
Density of states at the Fermi level = 0.84 states/eV per atom
V = 12.18 Å³/atom
Magnetization = 0.000 μB per formula unit
Formation energy = 0.120 eV per atom

a = 3.441 Å, b = 3.441 Å, c = 5.691 Å
α = 107.65°, β = 107.65°, γ = 89.84°
Atoms (fractional coordinates):
Ni (0.750, 0.250, 0.500)
Ni (0.250, 0.750, 0.500)
C (0.652, 0.652, 0.305)
C (0.348, 0.348, 0.695)
Nd (0.000, 0.000, 0.000)